(1)
This record from the Alexandria database describes Y5Tm11O24 after structural relaxation. The functional is PBEsol.

abc: 9.011 9.011 10.408
angles: 125.24 125.24 70.56
Element x y z (fractional)
Y 0.000 0.000 0.000
Y 0.467 0.032 0.749
Y 0.469 0.032 0.251
Y 0.968 0.531 0.749
Y 0.968 0.533 0.251
Tm 0.186 0.748 0.217
Tm 0.218 0.283 0.468
Tm 0.219 0.282 0.967
Tm 0.252 0.814 0.783
Tm 0.435 0.565 0.500
Tm 0.501 0.499 0.000
Tm 0.685 0.250 0.717
Tm 0.717 0.782 0.532
Tm 0.718 0.781 0.033
Tm 0.750 0.315 0.283
Tm 0.936 0.064 0.500
O 0.011 0.290 0.520
O 0.195 0.020 0.707
O 0.199 0.563 0.523
O 0.210 0.489 0.219
O 0.230 0.075 0.021
O 0.240 0.001 0.265
O 0.241 0.544 0.992
O 0.425 0.275 0.720
O 0.437 0.801 0.477
O 0.456 0.759 0.008
O 0.480 0.305 0.492
O 0.499 0.262 0.022
O 0.511 0.790 0.781
O 0.695 0.520 0.508
O 0.699 0.062 0.238
O 0.710 0.989 0.480
O 0.725 0.575 0.280
O 0.738 0.044 0.790
O 0.738 0.501 0.978
O 0.925 0.770 0.979
O 0.938 0.301 0.762
O 0.956 0.262 0.210
O 0.980 0.805 0.293
O 0.999 0.760 0.735

## Properties
Crystal system: monoclinic
ΔE_f (raw) (eV per atom): -3.6950
M_tot (μB per formula unit): 0.000

***

(2)
This record from the Alexandria database describes Tm2Zr2O7 after structural relaxation. The functional is PBEsol.

abc: 7.314 7.314 7.314
angles: 60.00 60.00 60.00
Element x y z (fractional)
Tm 0.000 0.000 0.000
Tm 0.000 0.000 0.500
Tm 0.000 0.500 0.000
Tm 0.500 0.000 0.000
Zr 0.000 0.500 0.500
Zr 0.500 0.000 0.500
Zr 0.500 0.500 0.000
Zr 0.500 0.500 0.500
O 0.125 0.125 0.125
O 0.156 0.156 0.594
O 0.156 0.594 0.156
O 0.156 0.594 0.594
O 0.406 0.406 0.844
O 0.406 0.844 0.406
O 0.406 0.844 0.844
O 0.594 0.156 0.156
O 0.594 0.156 0.594
O 0.594 0.594 0.156
O 0.844 0.406 0.406
O 0.844 0.406 0.844
O 0.844 0.844 0.406
O 0.875 0.875 0.875

## Properties
Crystal system: cubic
ΔE_f (raw) (eV per atom): -3.5222
M_tot (μB per formula unit): 0.000

***

(3)
This record from the Alexandria database describes UO3 after structural relaxation. The functional is PBEsol.

abc: 4.127 4.127 4.127
angles: 90.00 90.00 90.00
Element x y z (fractional)
U 0.000 0.000 0.000
O 0.000 0.000 0.500
O 0.000 0.500 0.000
O 0.500 0.000 0.000

## Properties
Crystal system: cubic
ΔE_f (raw) (eV per atom): -3.0337
ΔE to the lowest computed polymorph (kJ/mol of formula units): 0
M_tot (μB per formula unit): 0.000

***

(4)
This record from the Alexandria database describes UO3 after structural relaxation. The functional is PBEsol.

abc: 10.954 10.954 10.954
angles: 143.28 143.28 52.90
Element x y z (fractional)
U 0.000 0.000 0.000
U 0.000 0.000 0.500
U 0.000 0.500 0.000
U 0.189 0.439 0.750
U 0.439 0.189 0.250
U 0.500 0.000 0.500
U 0.561 0.811 0.750
U 0.811 0.561 0.250
O 0.078 0.566 0.513
O 0.095 0.145 0.549
O 0.095 0.546 0.951
O 0.145 0.095 0.049
O 0.177 0.235 0.941
O 0.206 0.765 0.441
O 0.235 0.177 0.441
O 0.235 0.794 0.059
O 0.434 0.447 0.513
O 0.434 0.922 0.987
O 0.447 0.434 0.013
O 0.454 0.905 0.549
O 0.546 0.095 0.451
O 0.553 0.566 0.987
O 0.566 0.078 0.013
O 0.566 0.553 0.487
O 0.765 0.206 0.941
O 0.765 0.823 0.559
O 0.794 0.235 0.559
O 0.823 0.765 0.059
O 0.855 0.905 0.951
O 0.905 0.454 0.049
O 0.905 0.855 0.451
O 0.922 0.434 0.487

## Properties
Crystal system: tetragonal
ΔE_f (raw) (eV per atom): -2.9520
ΔE to the lowest computed polymorph (kJ/mol of formula units): 32
M_tot (μB per formula unit): 0.000

***

no.,D(E_F) (states/eV per atom)
1,0.000
2,0.000
3,0.000
4,0.000